# 1
# BaRhF | Alexandria via LeMat-Bulk | PBE-GGA | relaxed
# Calculated volume: 25.47 Å³/atom
# Crystal system: orthorhombic
# Electronic total energy: -5.29 eV per atom
# Total magnetic moment: 0.00 Bohr magnetons per cell
# E_form (uncorrected): -1573 meV per atom
data_BaRhF
_cell_length_a 8.2677
_cell_length_b 4.3280
_cell_length_c 8.5422
_cell_angle_alpha 90.00
_cell_angle_beta 90.00
_cell_angle_gamma 90.00
_symmetry_space_group_name_H-M 'P n m a'
_symmetry_Int_Tables_number 62
_symmetry_space_group_name_Hall '-P 2ac 2n'
loop_
_atom_site_label
_atom_site_type_symbol
_atom_site_fract_x
_atom_site_fract_y
_atom_site_fract_z
Ba1 Ba 0.1656 0.2500 0.1546
Rh1 Rh 0.0042 0.2500 0.5580
F1 F 0.0107 0.2500 0.8874

# 2
# Ba8Rh3F | Alexandria via LeMat-Bulk | PBE-GGA | relaxed
# Calculated volume: 42.90 Å³/atom
# Crystal system: monoclinic
# Electronic total energy: -3.87 eV per atom
# Total magnetic moment: 1.14 Bohr magnetons per cell
# E_form (uncorrected): -595 meV per atom
data_Ba8Rh3F
_cell_length_a 15.5092
_cell_length_b 8.9800
_cell_length_c 9.0450
_cell_angle_alpha 90.00
_cell_angle_beta 125.19
_cell_angle_gamma 90.00
_symmetry_space_group_name_H-M 'C 1 2/m 1'
_symmetry_Int_Tables_number 12
_symmetry_space_group_name_Hall '-C 2y'
loop_
_atom_site_label
_atom_site_type_symbol
_atom_site_fract_x
_atom_site_fract_y
_atom_site_fract_z
Ba1 Ba 0.0086 0.2504 0.2779
Ba2 Ba 0.2401 0.0000 0.7206
Ba3 Ba 0.2460 0.5000 0.7356
Rh1 Rh 0.0000 0.5000 0.5000
Rh2 Rh 0.2500 0.2500 0.5000
F1 F 0.0000 0.0000 0.5000

# 3
# Ba3RhF12 | Alexandria via LeMat-Bulk | PBE-GGA | relaxed
# Calculated volume: 24.21 Å³/atom
# Crystal system: monoclinic
# Electronic total energy: -4.72 eV per atom
# Total magnetic moment: 2.39 Bohr magnetons per cell
# E_form (uncorrected): -2494 meV per atom
data_Ba3RhF12
_cell_length_a 8.1221
_cell_length_b 14.4252
_cell_length_c 6.6966
_cell_angle_alpha 90.00
_cell_angle_beta 99.07
_cell_angle_gamma 90.00
_symmetry_space_group_name_H-M 'C 1 2/m 1'
_symmetry_Int_Tables_number 12
_symmetry_space_group_name_Hall '-C 2y'
loop_
_atom_site_label
_atom_site_type_symbol
_atom_site_fract_x
_atom_site_fract_y
_atom_site_fract_z
Ba1 Ba 0.0000 0.0000 0.0000
Ba2 Ba 0.2500 0.2500 0.5000
Rh1 Rh 0.0000 0.0000 0.5000
F1 F 0.0417 0.2838 0.7282
F2 F 0.1446 0.0808 0.3460
F3 F 0.1486 0.0818 0.7009

# 4
# BaRhF | Alexandria via LeMat-Bulk | PBE-GGA | relaxed
# Calculated volume: 20.47 Å³/atom
# Crystal system: orthorhombic
# Electronic total energy: -5.02 eV per atom
# Total magnetic moment: 1.23 Bohr magnetons per cell
# E_form (uncorrected): -1307 meV per atom
data_BaRhF
_cell_length_a 5.2251
_cell_length_b 7.8919
_cell_length_c 5.9580
_cell_angle_alpha 90.00
_cell_angle_beta 90.00
_cell_angle_gamma 90.00
_symmetry_space_group_name_H-M 'I m m a'
_symmetry_Int_Tables_number 74
_symmetry_space_group_name_Hall '-I 2b 2'
loop_
_atom_site_label
_atom_site_type_symbol
_atom_site_fract_x
_atom_site_fract_y
_atom_site_fract_z
Ba1 Ba 0.0000 0.0000 0.0000
Rh1 Rh 0.0000 0.2500 0.3636
F1 F 0.2500 0.2500 0.7500

# 5
# Ba12Rh3F5 | Alexandria via LeMat-Bulk | PBE-GGA | relaxed
# Calculated volume: 34.70 Å³/atom
# Crystal system: cubic
# Electronic total energy: -4.11 eV per atom
# Total magnetic moment: 0.00 Bohr magnetons per cell
# E_form (uncorrected): -1384 meV per atom
data_Ba12Rh3F5
_cell_length_a 17.7077
_cell_length_b 17.7077
_cell_length_c 17.7077
_cell_angle_alpha 90.00
_cell_angle_beta 90.00
_cell_angle_gamma 90.00
_symmetry_space_group_name_H-M 'I a -3 d'
_symmetry_Int_Tables_number 230
_symmetry_space_group_name_Hall '-I 4bd 2c 3'
loop_
_atom_site_label
_atom_site_type_symbol
_atom_site_fract_x
_atom_site_fract_y
_atom_site_fract_z
Ba1 Ba 0.0274 0.0599 0.6544
Rh1 Rh 0.0000 0.2500 0.1250
F1 F 0.0000 0.0000 0.0000
F2 F 0.0000 0.2500 0.3750

# 6
# Ba2RhF | Alexandria via LeMat-Bulk | PBE-GGA | relaxed
# Calculated volume: 34.18 Å³/atom
# Crystal system: tetragonal
# Electronic total energy: -4.59 eV per atom
# Total magnetic moment: 0.00 Bohr magnetons per cell
# E_form (uncorrected): -1319 meV per atom
data_Ba2RhF
_cell_length_a 6.2835
_cell_length_b 6.2835
_cell_length_c 13.8514
_cell_angle_alpha 90.00
_cell_angle_beta 90.00
_cell_angle_gamma 90.00
_symmetry_space_group_name_H-M 'I -4 2 d'
_symmetry_Int_Tables_number 122
_symmetry_space_group_name_Hall 'I -4 2bw'
loop_
_atom_site_label
_atom_site_type_symbol
_atom_site_fract_x
_atom_site_fract_y
_atom_site_fract_z
Ba1 Ba 0.2220 0.2500 0.1250
Rh1 Rh 0.0000 0.0000 0.5000
F1 F 0.0000 0.0000 0.0000